! SO GGA-PBE relaxed; values from VASP
&SYSTEM
  ibrav = 0, nat = 12, ntyp = 2
/
ATOMIC_SPECIES
S 32.06 S.upf
O 16.00 O.upf
ATOMIC_POSITIONS angstrom
S 0.9479 0.2564 0.6093
S 0.9479 5.6265 0.6093
S 0.9479 8.8243 1.2577
S 2.8437 2.9414 3.9126
S 2.8437 6.1392 4.5611
S 2.8437 11.5093 4.5611
O 0.9479 6.7530 1.6601
O 0.9479 8.8243 4.9453
O 0.9479 10.8955 1.6601
O 2.8437 0.8702 3.5103
O 2.8437 2.9414 0.2251
O 2.8437 5.0127 3.5103
CELL_PARAMETERS angstrom
3.7917 0.0000 0.0000
0.0000 11.7657 0.0000
0.0000 0.0000 5.1704
! **ΔE to the lowest computed polymorph**: 0.214 eV per atom
! **Spin magnetization**: 0.000 μB/atom
! **Crystal system**: orthorhombic
! **Electronic total energy**: -4.891 eV/atom
! **ΔE_f (raw)**: -0.35 eV/atom
! **V**: 19.222 A^3/atom
! **DOS(E_F)**: 1.8 states/eV per cell

=====

! AlGaOs GGA-PBE relaxed; values from VASP
&SYSTEM
  ibrav = 0, nat = 6, ntyp = 3
/
ATOMIC_SPECIES
Al 26.98 Al.upf
Ga 69.72 Ga.upf
Os 190.23 Os.upf
ATOMIC_POSITIONS angstrom
Al 0.0000 0.0000 0.0000
Al 2.5611 0.0000 0.0000
Ga 1.2806 0.0000 2.4398
Ga 3.8417 0.0000 3.9768
Os 1.2806 1.4058 4.6537
Os 3.8417 1.4058 1.7629
CELL_PARAMETERS angstrom
5.1223 0.0000 0.0000
0.0000 2.8116 0.0000
0.0000 0.0000 6.4166
! **ΔE to the lowest computed polymorph**: 0.350 eV per atom
! **Spin magnetization**: 0.000 μB/atom
! **Crystal system**: orthorhombic
! **Electronic total energy**: -6.014 eV/atom
! **Formation energy**: -0.014 eV per atom
! **V**: 15.402 A^3/atom
! **DOS(E_F)**: 3.8 states/eV per cell

=====

! Ba4CuNi GGA-PBE relaxed; values from VASP
&SYSTEM
  ibrav = 0, nat = 6, ntyp = 3
/
ATOMIC_SPECIES
Ba 137.33 Ba.upf
Cu 63.55 Cu.upf
Ni 58.69 Ni.upf
ATOMIC_POSITIONS angstrom
Ba 1.2483 1.2483 1.2483
Ba 3.7313 3.7313 1.2483
Ba 3.7313 1.2483 3.7313
Ba 1.2483 3.7313 3.7313
Cu 7.4694 7.4694 7.4694
Ni 4.9796 4.9796 4.9796
CELL_PARAMETERS angstrom
0.0000 4.9796 4.9796
4.9796 0.0000 4.9796
4.9796 4.9796 0.0000
! **Spin magnetization**: 0.030 μB/atom
! **Crystal system**: cubic
! **Electronic total energy**: -1.954 eV/atom
! **Formation energy**: 0.974 eV per atom
! **V**: 41.159 A^3/atom
! **DOS(E_F)**: 8.7 states/eV per cell

=====

! K4AsH GGA-PBE relaxed; values from VASP
&SYSTEM
  ibrav = 0, nat = 12, ntyp = 3
/
ATOMIC_SPECIES
K 39.10 K.upf
As 74.92 As.upf
H 1.01 H.upf
ATOMIC_POSITIONS angstrom
K 1.3843 0.7308 1.0973
K 1.3843 2.5565 5.9363
K 1.3843 4.3822 1.0973
K 1.3843 7.6696 4.9352
K 4.1529 2.5565 3.1194
K 4.1529 5.8439 6.9573
K 4.1529 7.6696 2.1183
K 4.1529 9.4952 6.9573
As 1.3843 7.6696 0.2397
As 4.1529 2.5565 7.8149
H 1.3843 2.5565 3.2948
H 4.1529 7.6696 4.7598
CELL_PARAMETERS angstrom
5.5372 0.0000 0.0000
0.0000 10.2261 0.0000
0.0000 0.0000 8.0546
! **ΔE to the lowest computed polymorph**: 0.004 eV per atom
! **Spin magnetization**: 0.000 μB/atom
! **Crystal system**: orthorhombic
! **Electronic total energy**: -2.315 eV/atom
! **V**: 38.007 A^3/atom